First-principles (GGA-PBE) data for CsSnHg2Pb after structural relaxation, as listed in the Alexandria database.

abc: 5.9917 5.9917 5.9104
angles: 90.00 90.00 90.00
Element x y z (fractional)
Cs 0.0000 0.0000 0.0000
Sn 0.5000 0.5000 0.5000
Hg 0.0000 0.5000 0.5000
Hg 0.5000 0.0000 0.5000
Pb 0.5000 0.5000 0.0000

Values from the calculation:
DOS at the Fermi energy = 3.868 states/eV/cell
calculated density = 6.7 g/cm³
calculated formation energy = 0.1 eV per formula unit
total magnetization = 0.00 Bohr magnetons per cell

First-principles (GGA-PBE) data for AlGaPCl after structural relaxation, as listed in the Alexandria database.

abc: 7.6956 7.6956 3.3972
angles: 99.38 99.38 25.66
Element x y z (fractional)
Al 0.0000 0.0000 0.0000
Ga 0.1954 0.1954 0.4052
P 0.5543 0.5543 0.5518
Cl 0.8527 0.8527 0.9201

Values from the calculation:
DOS at the Fermi energy = 0.654 states/eV/cell
calculated density = 3.2 g/cm³
relative energy among the computed polymorphs = 181 meV/atom
formation energy from raw total energies = -0.392 eV per atom
total magnetization = 0.00 Bohr magnetons per cell

First-principles (GGA-PBE) data for Ho4Tl2In after structural relaxation, as listed in the Alexandria database.

abc: 9.1187 9.1187 9.1187
angles: 33.38 33.38 33.38
Element x y z (fractional)
Ho 0.1211 0.1211 0.1211
Ho 0.3735 0.3735 0.3735
Ho 0.6265 0.6265 0.6265
Ho 0.8789 0.8789 0.8789
Tl 0.2536 0.2536 0.2536
Tl 0.7464 0.7464 0.7464
In 0.5000 0.5000 0.5000

Values from the calculation:
DOS at the Fermi energy = 7.902 states/eV/cell
calculated density = 9.6 g/cm³
relative energy among the computed polymorphs = 0 meV/atom
calculated formation energy = -1.5 eV per formula unit
total magnetization = 0.00 Bohr magnetons per cell

First-principles (GGA-PBE) data for Sm3YTl4 after structural relaxation, as listed in the Alexandria database.

abc: 10.1189 10.1189 10.1189
angles: 159.15 137.88 47.44
Element x y z (fractional)
Sm 0.0000 0.0000 0.0000
Sm 0.2821 0.7821 0.5000
Sm 0.7179 0.2179 0.5000
Y 0.5000 0.5000 0.0000
Tl 0.0883 0.3737 0.7146
Tl 0.3409 0.6263 0.7146
Tl 0.6591 0.3737 0.2854
Tl 0.9117 0.6263 0.2854

Values from the calculation:
DOS at the Fermi energy = 5.968 states/eV/cell
calculated density = 9.1 g/cm³
relative energy among the computed polymorphs = 136 meV/atom
calculated formation energy = -2.0 eV per formula unit
total magnetization = 0.30 Bohr magnetons per cell

First-principles (GGA-PBE) data for K2BaMnH6 after structural relaxation, as listed in the Alexandria database.

abc: 5.8706 5.8706 6.5728
angles: 90.00 90.00 120.00
Element x y z (fractional)
K 0.3333 0.6667 0.1022
K 0.6667 0.3333 0.8978
Ba 0.0000 0.0000 0.5000
Mn 0.0000 0.0000 0.0000
H 0.1321 0.2642 0.8474
H 0.1321 0.8679 0.8474
H 0.2642 0.1321 0.1526
H 0.7358 0.8679 0.8474
H 0.8679 0.1321 0.1526
H 0.8679 0.7358 0.1526

Values from the calculation:
DOS at the Fermi energy = 6.796 states/eV/cell
calculated density = 2.3 g/cm³
total magnetization = 1.60 Bohr magnetons per cell
uncorrected energy = -3.500 eV/atom

First-principles (GGA-PBE) data for ScZnIn4 after structural relaxation, as listed in the Alexandria database.

abc: 5.9722 5.9722 5.9722
angles: 60.00 60.00 60.00
Element x y z (fractional)
Sc 0.0000 0.0000 0.0000
Zn 0.7500 0.7500 0.7500
In 0.3752 0.3752 0.3752
In 0.3752 0.3752 0.8744
In 0.3752 0.8744 0.3752
In 0.8744 0.3752 0.3752

Values from the calculation:
DOS at the Fermi energy = 6.764 states/eV/cell
calculated density = 6.3 g/cm³
calculated formation energy = 0.9 eV per formula unit
total magnetization = 0.00 Bohr magnetons per cell

First-principles (GGA-PBE) data for ZrMn2Tc after structural relaxation, as listed in the Alexandria database.

abc: 4.3713 4.3713 4.3713
angles: 60.00 60.00 60.00
Element x y z (fractional)
Zr 0.0000 0.0000 0.0000
Mn 0.5000 0.5000 0.5000
Mn 0.7500 0.7500 0.7500
Tc 0.2500 0.2500 0.2500

Values from the calculation:
DOS at the Fermi energy = 3.835 states/eV/cell
calculated density = 8.4 g/cm³
relative energy among the computed polymorphs = 81 meV/atom
calculated formation energy = 0.4 eV per formula unit
total magnetization = 2.99 Bohr magnetons per cell

First-principles (GGA-PBE) data for Nd3UB2Rh9 after structural relaxation, as listed in the Alexandria database.

abc: 5.9629 5.9629 8.6028
angles: 90.00 90.00 120.00
Element x y z (fractional)
Nd 0.0000 0.0000 0.0000
Nd 0.3333 0.6667 0.6549
Nd 0.6667 0.3333 0.3451
U 0.0000 0.0000 0.5000
B 0.3333 0.6667 0.1423
B 0.6667 0.3333 0.8577
Rh 0.0000 0.5000 0.0000
Rh 0.1654 0.3309 0.2852
Rh 0.1654 0.8346 0.2852
Rh 0.3309 0.1654 0.7148
Rh 0.5000 0.0000 0.0000
Rh 0.5000 0.5000 0.0000
Rh 0.6691 0.8346 0.2852
Rh 0.8346 0.1654 0.7148
Rh 0.8346 0.6691 0.7148

Values from the calculation:
DOS at the Fermi energy = 11.115 states/eV/cell
calculated density = 10.1 g/cm³
calculated formation energy = -8.7 eV per formula unit
total magnetization = 0.00 Bohr magnetons per cell

First-principles (GGA-PBE) data for RbPO3 after structural relaxation, as listed in the Alexandria database.

abc: 4.5736 6.2020 13.1614
angles: 90.00 90.00 90.00
Element x y z (fractional)
Rb 0.2282 0.2500 0.0923
Rb 0.2718 0.7500 0.5923
Rb 0.7282 0.2500 0.4077
Rb 0.7718 0.7500 0.9077
P 0.1813 0.7500 0.3241
P 0.3187 0.2500 0.8241
P 0.6813 0.7500 0.1759
P 0.8187 0.2500 0.6759
O 0.1595 0.2500 0.7135
O 0.2352 0.5414 0.3788
O 0.2352 0.9586 0.3788
O 0.2648 0.0414 0.8788
O 0.2648 0.4586 0.8788
O 0.3405 0.7500 0.2135
O 0.6595 0.2500 0.7865
O 0.7352 0.5414 0.1212
O 0.7352 0.9586 0.1212
O 0.7648 0.0414 0.6212
O 0.7648 0.4586 0.6212
O 0.8405 0.7500 0.2865

Values from the calculation:
DOS at the Fermi energy = 0.000 states/eV/cell
calculated density = 2.9 g/cm³
formation energy from raw total energies = -2.256 eV per atom
total magnetization = 0.00 Bohr magnetons per cell

First-principles (GGA-PBE) data for PrSn4Pd2 after structural relaxation, as listed in the Alexandria database.

abc: 19.1363 4.6080 7.3973
angles: 90.00 90.00 90.00
Element x y z (fractional)
Pr 0.1413 0.2500 0.0056
Pr 0.3587 0.7500 0.5056
Pr 0.6413 0.2500 0.4944
Pr 0.8587 0.7500 0.9944
Sn 0.0321 0.7500 0.8603
Sn 0.0660 0.2500 0.4863
Sn 0.1804 0.7500 0.3078
Sn 0.1966 0.7500 0.7286
Sn 0.3034 0.2500 0.2286
Sn 0.3196 0.2500 0.8078
Sn 0.4340 0.7500 0.9863
Sn 0.4679 0.2500 0.3603
Sn 0.5321 0.7500 0.6397
Sn 0.5660 0.2500 0.0137
Sn 0.6804 0.7500 0.1922
Sn 0.6966 0.7500 0.7714
Sn 0.8034 0.2500 0.2714
Sn 0.8196 0.2500 0.6922
Sn 0.9340 0.7500 0.5137
Sn 0.9679 0.2500 0.1397
Pd 0.0356 0.7500 0.2388
Pd 0.2120 0.2500 0.5283
Pd 0.2880 0.7500 0.0283
Pd 0.4644 0.2500 0.7388
Pd 0.5356 0.7500 0.2612
Pd 0.7120 0.2500 0.9717
Pd 0.7880 0.7500 0.4717
Pd 0.9644 0.2500 0.7612

Values from the calculation:
DOS at the Fermi energy = 11.741 states/eV/cell
calculated density = 8.4 g/cm³
calculated formation energy = -4.1 eV per formula unit
total magnetization = 0.00 Bohr magnetons per cell

First-principles (GGA-PBE) data for TeAs2Br after structural relaxation, as listed in the Alexandria database.

abc: 6.2800 6.2800 5.9621
angles: 97.17 97.17 32.69
Element x y z (fractional)
Te 0.0000 0.0000 0.0000
As 0.1883 0.1883 0.8356
As 0.6194 0.6194 0.5495
Br 0.7895 0.7895 0.3749

Values from the calculation:
DOS at the Fermi energy = 1.815 states/eV/cell
calculated density = 4.7 g/cm³
relative energy among the computed polymorphs = 5 meV/atom
formation energy from raw total energies = -0.035 eV per atom
total magnetization = 0.00 Bohr magnetons per cell

First-principles (GGA-PBE) data for UCuRe after structural relaxation, as listed in the Alexandria database.

abc: 6.1697 6.0264 4.7920
angles: 68.45 65.30 46.25
Element x y z (fractional)
U 0.2500 0.2500 0.2500
U 0.7500 0.7500 0.7500
Cu 0.1690 0.8310 0.1690
Cu 0.8310 0.1690 0.8310
Re 0.3657 0.3657 0.6343
Re 0.6343 0.6343 0.3657

Values from the calculation:
DOS at the Fermi energy = 8.429 states/eV/cell
calculated density = 14.0 g/cm³
calculated formation energy = 1.8 eV per formula unit
total magnetization = 0.00 Bohr magnetons per cell

What is the DOS at the Fermi energy in the second record? 0.654 states/eV/cell